[1]
First-principles (PBEsol) data for a relaxed structure of Tb3Tl5, as listed in the Alexandria database.

## Properties
**ΔH_f (0 K)**: -0.40 eV per atom
**Volume**: 821 Å³ per cell
**Total DFT energy (no corrections)**: -3.920 eV/atom

Unit cell a=9.9429 b=8.0057 c=10.3166 alpha=90.00 beta=90.00 gamma=90.00
Space group Cmcm (No. 63)
Unique sites:
1 Tb 0.0000 0.1131 0.2500
2 Tb 0.2058 0.5000 0.0000
3 Tl 0.0000 0.1974 0.5387
4 Tl 0.0000 0.4987 0.7500
5 Tl 0.2214 0.2118 0.7500

***

[2]
First-principles (PBEsol) data for a relaxed structure of Fe3PI, as listed in the Alexandria database.

## Properties
**Volume**: 98 Å³ per cell
**Formation energy without anion corrections**: 1765 meV/atom
**Total DFT energy (no corrections)**: -5.125 eV/atom

Unit cell a=4.6167 b=4.6167 c=4.6167 alpha=90.00 beta=90.00 gamma=90.00
Space group Pm-3m (No. 221)
Unique sites:
1 Fe 0.0000 0.0000 0.5000
2 P 0.5000 0.5000 0.5000
3 I 0.0000 0.0000 0.0000

***

[3]
First-principles (PBEsol) data for a relaxed structure of Bi3PbWClO8, as listed in the Alexandria database.

## Properties
**Volume**: 213 Å³ per cell
**Formation energy without anion corrections**: -1522 meV/atom
**Total DFT energy (no corrections)**: -6.855 eV/atom

Unit cell a=3.8401 b=3.8401 c=14.4667 alpha=90.00 beta=90.00 gamma=90.00
Space group P4mm (No. 99)
Unique sites:
1 Bi 0.0000 0.0000 0.0000
2 Bi 0.0000 0.0000 0.2673
3 Bi 0.5000 0.5000 0.8251
4 Pb 0.5000 0.5000 0.4442
5 W 0.0000 0.0000 0.6413
6 Cl 0.5000 0.5000 0.1177
7 O 0.0000 0.0000 0.5148
8 O 0.0000 0.0000 0.7780
9 O 0.0000 0.5000 0.3416
10 O 0.0000 0.5000 0.6479
11 O 0.0000 0.5000 0.9201

***

[4]
First-principles (PBEsol) data for a relaxed structure of Ca2AlAs, as listed in the Alexandria database.

## Properties
**ΔH_f (0 K)**: -0.35 eV per atom
**Volume**: 326 Å³ per cell
**Excess energy over the best structure of this formula in the dataset**: 131.7 kJ/mol of formula units
**Total DFT energy (no corrections)**: -3.720 eV/atom

Unit cell a=3.7611 b=3.7611 c=26.5773 alpha=90.00 beta=90.00 gamma=120.00
Space group R-3m (No. 166, hexagonal axes)
Unique sites:
1 Ca 0.0000 0.0000 0.2382
2 Al 0.0000 0.0000 0.0000
3 As 0.0000 0.0000 0.5000

***

[5]
First-principles (PBEsol) data for a relaxed structure of BaMnRu, as listed in the Alexandria database.

## Properties
**ΔH_f (0 K)**: 0.62 eV per atom
**Volume**: 69 Å³ per cell
**Excess energy over the best structure of this formula in the dataset**: 0.0 kJ/mol of formula units
**Total DFT energy (no corrections)**: -6.741 eV/atom

Unit cell a=3.8852 b=3.8852 c=5.2857 alpha=90.00 beta=90.00 gamma=120.00
Space group P-6m2 (No. 187)
Unique sites:
1 Ba 0.0000 0.0000 0.0000
2 Mn 0.3333 0.6667 0.5000
3 Ru 0.6667 0.3333 0.5000

***

[6]
First-principles (PBEsol) data for a relaxed structure of IrC2I, as listed in the Alexandria database.

## Properties
**Volume**: 638 Å³ per cell
**Formation energy without anion corrections**: 1468 meV/atom
**Total DFT energy (no corrections)**: -6.251 eV/atom

Unit cell a=8.6077 b=8.6077 c=8.6077 alpha=90.00 beta=90.00 gamma=90.00
Space group Fd-3m (No. 227, origin choice 2)
Unique sites:
1 Ir 0.1250 0.1250 0.1250
2 C 0.0000 0.0000 0.0000
3 I 0.1250 0.1250 0.6250

***

[7]
First-principles (PBEsol) data for a relaxed structure of Na5H29I2O24, as listed in the Alexandria database.

## Properties
**Volume**: 583 Å³ per cell
**Total DFT energy (no corrections)**: -4.913 eV/atom

Unit cell a=8.5695 b=8.6131 c=9.2137 alpha=84.18 beta=73.87 gamma=63.30
Space group P-1 (No. 2)
Unique sites:
1 Na 0.0000 0.0000 0.0000
2 Na 0.3500 0.2683 0.6551
3 Na 0.3534 0.7519 0.1193
4 H 0.0560 0.6592 0.1991
5 H 0.0769 0.8445 0.7354
6 H 0.0852 0.0139 0.6517
7 H 0.1516 0.5588 0.8189
8 H 0.1563 0.6000 0.0272
9 H 0.2076 0.1337 0.0812
10 H 0.2536 0.4895 0.4344
11 H 0.2644 0.9276 0.4003
12 H 0.2955 0.7323 0.4226
13 H 0.3095 0.9445 0.7260
14 H 0.3234 0.0278 0.9185
15 H 0.3469 0.5240 0.8424
16 H 0.4188 0.4019 0.1778
17 H 0.4784 0.1143 0.3009
18 H 0.5000 0.5000 0.0000
19 I 0.0530 0.3279 0.4143
20 O 0.0327 0.4142 0.6186
21 O 0.0336 0.2938 0.2293
22 O 0.1025 0.1128 0.4875
23 O 0.1111 0.6971 0.1019
24 O 0.1158 0.9368 0.7384
25 O 0.2114 0.5938 0.5046
26 O 0.2572 0.4720 0.8554
27 O 0.2608 0.0210 0.0268
28 O 0.2865 0.3079 0.3568
29 O 0.3520 0.8060 0.3623
30 O 0.4001 0.9877 0.7291
31 O 0.4786 0.5792 0.8855

***

[8]
First-principles (PBEsol) data for a relaxed structure of AlPCl3, as listed in the Alexandria database.

## Properties
**Volume**: 116 Å³ per cell
**Formation energy without anion corrections**: -124 meV/atom
**Total DFT energy (no corrections)**: -3.306 eV/atom

Unit cell a=4.8704 b=4.8704 c=4.8704 alpha=90.00 beta=90.00 gamma=90.00
Space group Pm-3m (No. 221)
Unique sites:
1 Al 0.0000 0.0000 0.0000
2 P 0.5000 0.5000 0.5000
3 Cl 0.0000 0.5000 0.5000

***

[9]
First-principles (PBEsol) data for a relaxed structure of PPb2W, as listed in the Alexandria database.

## Properties
**ΔH_f (0 K)**: 1.01 eV per atom
**Volume**: 160 Å³ per cell
**Total DFT energy (no corrections)**: -5.890 eV/atom

Unit cell a=3.6618 b=4.8391 c=9.0525 alpha=90.00 beta=90.00 gamma=90.00
Space group Immm (No. 71)
Unique sites:
1 P 0.0000 0.0000 0.0000
2 Pb 0.0000 0.5000 0.2647
3 W 0.0000 0.0000 0.5000

***

[10]
First-principles (PBEsol) data for a relaxed structure of Hf3Zn3C, as listed in the Alexandria database.

## Properties
**ΔH_f (0 K)**: -0.52 eV per atom
**Volume**: 1709 Å³ per cell
**Total DFT energy (no corrections)**: -7.081 eV/atom

Unit cell a=11.9554 b=11.9554 c=11.9554 alpha=90.00 beta=90.00 gamma=90.00
Space group Fd-3m (No. 227, origin choice 2)
Unique sites:
1 Hf 0.0647 0.3750 0.3750
2 Zn 0.0000 0.0000 0.5000
3 Zn 0.0437 0.0437 0.7063
4 C 0.0000 0.0000 0.0000

***

[11]
First-principles (PBEsol) data for a relaxed structure of LaMoN3, as listed in the Alexandria database.

## Properties
**Volume**: 165 Å³ per cell
**Formation energy without anion corrections**: -1020 meV/atom
**Total DFT energy (no corrections)**: -9.559 eV/atom

Unit cell a=5.7508 b=3.8574 c=7.8387 alpha=90.00 beta=108.70 gamma=90.00
Space group P2_1/m (No. 11)
Unique sites:
1 La 0.2467 0.2500 0.1879
2 Mo 0.1408 0.2500 0.6683
3 N 0.0201 0.7500 0.6109
4 N 0.0343 0.2500 0.8660
5 N 0.4651 0.2500 0.7394

***

[12]
First-principles (PBEsol) data for a relaxed structure of TiCuSi, as listed in the Alexandria database.

## Properties
**Volume**: 161 Å³ per cell
**Formation energy without anion corrections**: -602 meV/atom
**Total DFT energy (no corrections)**: -6.736 eV/atom

Unit cell a=6.1257 b=3.7165 c=7.0561 alpha=90.00 beta=90.00 gamma=90.00
Space group Pnma (No. 62)
Unique sites:
1 Ti 0.0179 0.2500 0.1839
2 Cu 0.1564 0.2500 0.5681
3 Si 0.2317 0.7500 0.3842